The following is a DFT calculation (SCAN) of a PBEsol-optimized structure of BaTeRu3.

Cell and atoms, written as POSCAR:
```
BaTeRu3
1.0
4.8716 0.0000 0.0000
0.0000 4.8716 0.0000
0.0000 0.0000 4.8716
Ba Te Ru
1 1 3
direct
0.0000 0.0000 0.0000 Ba
0.5000 0.5000 0.5000 Te
0.0000 0.5000 0.5000 Ru
0.5000 0.0000 0.5000 Ru
0.5000 0.5000 0.0000 Ru
```

Computed properties:
uncorrected energy: -35.39 eV/atom
E_form (uncorrected): 0.871 eV/atom
total magnetic moment: 0.0 μB/cell
crystal system: cubic